The following is a PBE-GGA calculation of an optimized crystal structure of Cs2SrGaNi, from the Alexandria database.

Calculated values
Formation energy from the elements = 256 kJ/mol of formula units
Space group = P4/mmm (123)

abc: 6.1498 6.1498 5.7662
angles: 90.00 90.00 90.00
Fractional positions:
Cs  0.0000  0.5000  0.0000
Cs  0.5000  0.0000  0.0000
Sr  0.0000  0.0000  0.5000
Ga  0.5000  0.5000  0.5000
Ni  0.0000  0.0000  0.0000

=====

The following is a PBE-GGA calculation of an optimized crystal structure of Li2ZrTc, from the Alexandria database.

Calculated values
Formation energy from the elements = 133 kJ/mol of formula units
Distance to the lowest polymorph of the same formula = 0.80 eV/f.u.
Space group = Cmmm (65)

abc: 2.7073 2.7073 10.2702
angles: 90.00 90.00 114.20
Fractional positions:
Li  0.0000  0.0000  0.2251
Li  0.0000  0.0000  0.7749
Zr  0.5000  0.5000  0.5000
Tc  0.5000  0.5000  0.0000

=====

The following is a PBE-GGA calculation of an optimized crystal structure of Sr2MgAs, from the Alexandria database.

Calculated values
Formation energy from the elements = -29 kJ/mol of formula units
Distance to the lowest polymorph of the same formula = 2.20 eV/f.u.
Space group = F-43m (216)

abc: 5.6550 5.6550 5.6550
angles: 60.00 60.00 60.00
Fractional positions:
Sr  0.0000  0.0000  0.0000
Sr  0.2500  0.2500  0.2500
Mg  0.7500  0.7500  0.7500
As  0.5000  0.5000  0.5000

=====

The following is a PBE-GGA calculation of an optimized crystal structure of Pr2LuTh, from the Alexandria database.

Calculated values
Formation energy from the elements = 21 kJ/mol of formula units
Distance to the lowest polymorph of the same formula = 0.00 eV/f.u.
Space group = P4/mmm (123)

abc: 5.0945 5.0945 5.1320
angles: 90.00 90.00 90.00
Fractional positions:
Pr  0.0000  0.5000  0.0000
Pr  0.5000  0.0000  0.0000
Lu  0.0000  0.0000  0.5000
Th  0.5000  0.5000  0.5000

=====

The following is a PBE-GGA calculation of an optimized crystal structure of BeAg2W, from the Alexandria database.

Calculated values
Formation energy from the elements = 329 kJ/mol of formula units
Space group = F-43m (216)

abc: 4.4175 4.4175 4.4175
angles: 60.00 60.00 60.00
Fractional positions:
Be  0.0000  0.0000  0.0000
Ag  0.5000  0.5000  0.5000
Ag  0.7500  0.7500  0.7500
W  0.2500  0.2500  0.2500

=====

The following is a PBE-GGA calculation of an optimized crystal structure of Pm5Sn4H, from the Alexandria database.

Calculated values
Space group = I4 (79)
E = -48.03 eV/cell

abc: 7.6038 7.6038 7.6038
angles: 99.91 99.91 130.97
Fractional positions:
Pm  0.0000  0.0000  0.0000
Pm  0.2649  0.6485  0.8116
Pm  0.4533  0.2649  0.6164
Pm  0.6485  0.8369  0.3836
Pm  0.8369  0.4533  0.1884
Sn  0.1464  0.3540  0.3946
Sn  0.3540  0.9594  0.2076
Sn  0.7518  0.1464  0.7924
Sn  0.9594  0.7518  0.6054
H  0.6153  0.6153  0.0000